# PBE Pr8HoCd6, relaxed
data_Pr8HoCd6
_cell_length_a 9.2237
_cell_length_b 9.2237
_cell_length_c 19.8069
_cell_angle_alpha 90.00
_cell_angle_beta 90.00
_cell_angle_gamma 120.00
_space_group_name_H-M_alt 'R -3'
_space_group_IT_number 148
_space_group_name_Hall '-R 3'
loop_
_atom_site_label
_atom_site_type_symbol
_atom_site_fract_x
_atom_site_fract_y
_atom_site_fract_z
_atom_site_occupancy
Pr1 Pr 0.0000 0.0000 0.1652 1
Pr2 Pr 0.0020 0.3383 0.3823 1
Ho1 Ho 0.0000 0.0000 0.5000 1
Cd1 Cd 0.9997 0.3247 0.5487 1
# Formation energy from the elements in eV/atom: -0.096
# M_tot in Bohr magnetons per cell: 0.181